(1)
The following is a DFT calculation (PBE) of a geometry-optimized TbInPt4 structure.

Properties
calculated volume: 18.52 Å³/atom
total magnetic moment: 0.00 μB/atom
energy: -6.073 eV per atom

Cell: 5.3961 5.3961 5.3961 Å, 60.00 60.00 60.00°
Closest atoms and distances in Å follow each position.
Element x y z (fractional)
Pt (0.6247, 0.1259, 0.6247)  6 Pt 2.69-2.70
In (0.2500, 0.2500, 0.2500)  12 Pt 3.16, 4 Tb 3.30
Pt (0.1259, 0.6247, 0.6247)  6 Pt 2.69-2.70
Tb (0.0000, 0.0000, 0.0000)  12 Pt 3.16, 4 In 3.30
Pt (0.6247, 0.6247, 0.6247)  6 Pt 2.69-2.70
Pt (0.6247, 0.6247, 0.1259)  6 Pt 2.69-2.70


(2)
The following is a DFT calculation (PBE) of a geometry-optimized Na2InOsO6 structure.

Properties
calculated volume: 12.60 Å³/atom
total magnetic moment: 0.10 μB/atom
energy: -5.905 eV per atom

Cell: 5.6277 5.6277 5.6277 Å, 60.00 60.00 60.00°
Closest atoms and distances in Å follow each position.
Element x y z (fractional)
O (0.7639, 0.2361, 0.2361)  1 Os 1.88, 1 In 2.10
In (0.5000, 0.5000, 0.5000)  6 O 2.10
Na (0.7500, 0.7500, 0.7500)  12 O 2.82
O (0.7639, 0.2361, 0.7639)  1 Os 1.88, 1 In 2.10
O (0.2361, 0.7639, 0.2361)  1 Os 1.88, 1 In 2.10
O (0.2361, 0.7639, 0.7639)  1 Os 1.88, 1 In 2.10
O (0.7639, 0.7639, 0.2361)  1 Os 1.88, 1 In 2.10
O (0.2361, 0.2361, 0.7639)  1 Os 1.88, 1 In 2.10
Os (0.0000, 0.0000, 0.0000)  6 O 1.88
Na (0.2500, 0.2500, 0.2500)  12 O 2.82


(3)
The following is a DFT calculation (PBE) of a geometry-optimized BeBAu structure.

Properties
distance to the lowest polymorph of the same formula: 0.0 meV per atom
calculated volume: 11.66 Å³/atom
energy: -4.139 eV per atom

Cell: 3.6705 3.6705 3.6705 Å, 60.00 60.00 60.00°
Closest atoms and distances in Å follow each position.
Element x y z (fractional)
B (0.0000, 0.0000, 0.0000)  4 Be 2.25, 4 Au 2.25
Au (0.2500, 0.2500, 0.2500)  4 B 2.25
Be (0.7500, 0.7500, 0.7500)  4 B 2.25


(4)
The following is a DFT calculation (PBE) of a geometry-optimized Lu2AgSe4 structure.

Properties
calculated volume: 27.33 Å³/atom
total magnetic moment: 0.00 μB/atom
energy: -4.972 eV per atom

Cell: 8.1493 8.1493 8.1493 Å, 60.00 60.00 60.00°
Closest atoms and distances in Å follow each position.
Element x y z (fractional)
Se (0.3535, 0.8822, 0.8822)  1 Ag 2.64, 3 Lu 2.80
Se (0.8965, 0.3678, 0.3678)  1 Ag 2.64, 3 Lu 2.80
Ag (0.5000, 0.5000, 0.5000)  4 Se 2.64
Se (0.3678, 0.3678, 0.8965)  1 Ag 2.64, 3 Lu 2.80
Lu (0.1250, 0.6250, 0.1250)  6 Se 2.80
Lu (0.6250, 0.1250, 0.1250)  6 Se 2.80
Se (0.8822, 0.8822, 0.3535)  1 Ag 2.64, 3 Lu 2.80
Lu (0.1250, 0.1250, 0.1250)  6 Se 2.80
Ag (0.7500, 0.7500, 0.7500)  4 Se 2.64
Se (0.3678, 0.8965, 0.3678)  1 Ag 2.64, 3 Lu 2.80
Lu (0.1250, 0.1250, 0.6250)  6 Se 2.80
Se (0.8822, 0.3535, 0.8822)  1 Ag 2.64, 3 Lu 2.80
Se (0.8822, 0.8822, 0.8822)  1 Ag 2.64, 3 Lu 2.80
Se (0.3678, 0.3678, 0.3678)  1 Ag 2.64, 3 Lu 2.80


(5)
The following is a DFT calculation (PBE) of a geometry-optimized LiTaInCo structure.

Properties
distance to the lowest polymorph of the same formula: 0.0 meV per atom
calculated volume: 14.49 Å³/atom
total magnetic moment: 0.00 μB/atom
energy: -6.002 eV per atom

Cell: 4.3442 4.3442 4.3442 Å, 60.00 60.00 60.00°
Closest atoms and distances in Å follow each position.
Element x y z (fractional)
In (0.0000, 0.0000, 0.0000)  4 Li 2.66, 4 Co 2.66
Co (0.7500, 0.7500, 0.7500)  4 Ta 2.66, 4 In 2.66
Li (0.2500, 0.2500, 0.2500)  4 Ta 2.66, 4 In 2.66
Ta (0.5000, 0.5000, 0.5000)  4 Co 2.66, 4 Li 2.66


(6)
The following is a DFT calculation (PBE) of a geometry-optimized HoEr2Cd4In2 structure.

Properties
calculated volume: 24.50 Å³/atom
total magnetic moment: 0.00 μB/atom
energy: -2.904 eV per atom

Cell: 4.5783 7.4604 7.4604 Å, 120.07 90.00 90.00°
Closest atoms and distances in Å follow each position.
Element x y z (fractional)
Cd (0.5000, 0.7566, 0.7566)  2 In 2.88, 4 Cd 2.92-3.14
Ho (0.0000, 0.4275, 0.4275)  3 Cd 3.19-3.36, 4 In 3.19
Er (0.0000, 0.0000, 0.5727)  3 Cd 3.19-3.36, 4 In 3.19
Cd (0.0000, 0.9996, 0.9996)  6 Cd 2.92, 2 Er 3.19, 1 Ho 3.19
Cd (0.5000, 0.2434, 0.0000)  2 In 2.88, 4 Cd 2.92-3.15
Er (0.0000, 0.5727, 0.0000)  3 Cd 3.19-3.36, 4 In 3.19
In (0.5000, 0.6670, 0.3332)  3 Cd 2.88, 4 Er 3.19, 2 Ho 3.19
Cd (0.5000, 0.0000, 0.2434)  2 In 2.88, 4 Cd 2.92-3.15
In (0.5000, 0.3332, 0.6670)  3 Cd 2.88, 4 Er 3.19, 2 Ho 3.19


(7)
The following is a DFT calculation (PBE) of a geometry-optimized GeAsPt2 structure.

Properties
calculated volume: 17.54 Å³/atom
total magnetic moment: 0.00 μB/atom
energy: -5.684 eV per atom

Cell: 3.8457 6.2895 5.8012 Å, 90.00 90.00 90.00°
Closest atoms and distances in Å follow each position.
Element x y z (fractional)
Ge (0.5000, 0.3367, 0.8052)  6 Pt 2.55-2.70
Ge (0.5000, 0.6633, 0.3052)  6 Pt 2.55-2.70
Pt (0.5000, 0.9478, 0.9914)  2 Ge 2.55-2.67, 4 As 2.64-2.66
Pt (0.0000, 0.4523, 0.5043)  2 As 2.54-2.67, 4 Ge 2.61-2.70
Pt (0.5000, 0.0522, 0.4914)  2 Ge 2.55-2.67, 4 As 2.64-2.66
As (0.0000, 0.8362, 0.6991)  6 Pt 2.54-2.67
As (0.0000, 0.1638, 0.1991)  6 Pt 2.54-2.67
Pt (0.0000, 0.5477, 0.0043)  2 As 2.54-2.67, 4 Ge 2.61-2.70


(8)
The following is a DFT calculation (PBE) of a geometry-optimized Na2LuO4 structure.

Properties
calculated volume: 14.97 Å³/atom
total magnetic moment: 0.43 μB/atom
energy: -5.237 eV per atom

Cell: 6.6663 6.6663 6.6663 Å, 119.99 90.02 119.99°
Closest atoms and distances in Å follow each position.
Element x y z (fractional)
O (0.1266, 0.7466, 0.8732)  1 Lu 2.07
Na (0.3750, 0.7500, 0.1250)  6 O 2.34
Na (0.3750, 0.2500, 0.6250)  6 O 2.34
Na (0.8750, 0.2500, 0.6250)  6 O 2.34
Na (0.3750, 0.7500, 0.6250)  6 O 2.34
Lu (0.7500, 0.5000, 0.2500)  4 O 2.07
Lu (0.0000, 0.0000, 0.0000)  4 O 2.07
O (0.6232, 0.2466, 0.3766)  1 Lu 2.07
O (0.1266, 0.2534, 0.3801)  1 Lu 2.07
O (0.6234, 0.2466, 0.8699)  1 Lu 2.07
O (0.6234, 0.7534, 0.3768)  1 Lu 2.07
O (0.1301, 0.7534, 0.3766)  1 Lu 2.07
O (0.1268, 0.2534, 0.8734)  1 Lu 2.07
O (0.6199, 0.7466, 0.8734)  1 Lu 2.07


What did the third record say?
The following is a DFT calculation (PBE) of a geometry-optimized BeBAu structure.

Properties
distance to the lowest polymorph of the same formula: 0.0 meV per atom
calculated volume: 11.66 Å³/atom
energy: -4.139 eV per atom

Cell: 3.6705 3.6705 3.6705 Å, 60.00 60.00 60.00°
Closest atoms and distances in Å follow each position.
Element x y z (fractional)
B (0.0000, 0.0000, 0.0000)  4 Be 2.25, 4 Au 2.25
Au (0.2500, 0.2500, 0.2500)  4 B 2.25
Be (0.7500, 0.7500, 0.7500)  4 B 2.25


- The highest calculated volume belongs to which entry?
  Lu2AgSe4


What did the fourth record say?
The following is a DFT calculation (PBE) of a geometry-optimized Lu2AgSe4 structure.

Properties
calculated volume: 27.33 Å³/atom
total magnetic moment: 0.00 μB/atom
energy: -4.972 eV per atom

Cell: 8.1493 8.1493 8.1493 Å, 60.00 60.00 60.00°
Closest atoms and distances in Å follow each position.
Element x y z (fractional)
Se (0.3535, 0.8822, 0.8822)  1 Ag 2.64, 3 Lu 2.80
Se (0.8965, 0.3678, 0.3678)  1 Ag 2.64, 3 Lu 2.80
Ag (0.5000, 0.5000, 0.5000)  4 Se 2.64
Se (0.3678, 0.3678, 0.8965)  1 Ag 2.64, 3 Lu 2.80
Lu (0.1250, 0.6250, 0.1250)  6 Se 2.80
Lu (0.6250, 0.1250, 0.1250)  6 Se 2.80
Se (0.8822, 0.8822, 0.3535)  1 Ag 2.64, 3 Lu 2.80
Lu (0.1250, 0.1250, 0.1250)  6 Se 2.80
Ag (0.7500, 0.7500, 0.7500)  4 Se 2.64
Se (0.3678, 0.8965, 0.3678)  1 Ag 2.64, 3 Lu 2.80
Lu (0.1250, 0.1250, 0.6250)  6 Se 2.80
Se (0.8822, 0.3535, 0.8822)  1 Ag 2.64, 3 Lu 2.80
Se (0.8822, 0.8822, 0.8822)  1 Ag 2.64, 3 Lu 2.80
Se (0.3678, 0.3678, 0.3678)  1 Ag 2.64, 3 Lu 2.80